Entry from Alexandria via LeMat-Bulk: an optimized crystal structure of SrMg (PBE-GGA). Values from VASP.

Structure (Quantum ESPRESSO input):
```
&SYSTEM
  ibrav = 0, nat = 6, ntyp = 2
/
ATOMIC_SPECIES
Sr 87.62 Sr.upf
Mg 24.30 Mg.upf
CELL_PARAMETERS angstrom
-2.354 4.651 -4.295
-5.317 -2.054 3.623
0.987 3.857 3.636
ATOMIC_POSITIONS crystal
Sr 0.581 0.581 0.000
Sr 0.704 0.096 0.500
Sr 0.096 0.704 0.500
Mg 0.032 0.324 0.000
Mg 0.263 0.263 0.500
Mg 0.324 0.032 0.000
```

Calculated values
- N(E_F): 1.0794 states/eV per atom
- Size of the total moment: 0.0 μB per formula unit
- V: 236.4 Å³ per cell
- Calculated formation energy: 0.006 eV/atom